A crystal of Y3Ge6N11 relaxed with PBEsol. Source: Alexandria via LeMat-Bulk, functional SCAN.

```
Y3Ge6N11
1.0
-0.383 -0.138 -5.078
-8.051 -6.261 0.777
-6.262 8.084 0.253
Y N Ge
6 22 12
Direct
0.966 0.500 0.500 Y
0.975 0.183 0.317 Y
0.975 0.683 0.183 Y
0.975 0.317 0.817 Y
0.966 0.000 0.000 Y
0.975 0.817 0.683 Y
0.676 0.920 0.816 N
0.676 0.316 0.420 N
0.166 0.211 0.086 N
0.166 0.914 0.211 N
0.166 0.711 0.414 N
0.676 0.816 0.080 N
0.690 0.648 0.852 N
0.690 0.852 0.352 N
0.166 0.086 0.789 N
0.109 0.500 0.000 N
0.676 0.580 0.316 N
0.676 0.080 0.184 N
0.166 0.414 0.289 N
0.676 0.184 0.920 N
0.109 0.000 0.500 N
0.166 0.789 0.914 N
0.690 0.148 0.648 N
0.166 0.586 0.711 N
0.676 0.420 0.684 N
0.166 0.289 0.586 N
0.690 0.352 0.148 N
0.676 0.684 0.580 N
0.044 0.121 0.621 Ge
0.527 0.080 0.793 Ge
0.527 0.207 0.080 Ge
0.044 0.879 0.379 Ge
0.044 0.379 0.121 Ge
0.527 0.920 0.207 Ge
0.044 0.621 0.879 Ge
0.527 0.420 0.293 Ge
0.527 0.707 0.420 Ge
0.527 0.293 0.580 Ge
0.527 0.793 0.920 Ge
0.527 0.580 0.707 Ge
```

Results
- raw formation energy (meV/atom) = -686